Record 1
# Pr5NdHo3

Crystalline Pr5NdHo3 at its relaxed geometry (GGA-PBE, the Alexandria database).

E_tot, eV per atom: -4.438

Unit cell a=10.6987 b=10.6987 c=11.6685 alpha=120.36 beta=120.36 gamma=34.29
Last column: nearest neighbours and their distance in Å.
Fractional positions:
Pr 0.0402 0.6773 0.3433  2 Ho 3.18-3.49
Pr 0.1031 0.8969 0.7500  2 Nd 3.04-3.27
Pr 0.1326 0.5083 0.6641  5 Pr 3.45-3.67, 3 Ho 3.46-3.83, 1 Nd 3.79
Pr 0.3227 0.9598 0.1567  2 Ho 3.18-3.49
Pr 0.4917 0.8674 0.8359  5 Pr 3.45-3.67, 3 Ho 3.46-3.83, 1 Nd 3.79
Pr 0.5083 0.1326 0.1641  5 Pr 3.45-3.67, 3 Ho 3.46-3.83, 1 Nd 3.79
Pr 0.6773 0.0402 0.8433  2 Ho 3.18-3.49
Pr 0.8674 0.4917 0.3359  5 Pr 3.45-3.67, 3 Ho 3.46-3.83, 1 Nd 3.79
Pr 0.8969 0.1031 0.2500  2 Nd 3.04-3.27
Pr 0.9598 0.3227 0.6567  2 Ho 3.18-3.49
Nd 0.3792 0.6208 0.2500  2 Ho 3.02, 2 Pr 3.04-3.27
Nd 0.6208 0.3792 0.7500  2 Ho 3.02, 2 Pr 3.04-3.27
Ho 0.0972 0.5494 0.9717  2 Ho 3.41-3.73, 1 Nd 3.41, 4 Pr 3.46-3.60
Ho 0.4506 0.9028 0.5283  2 Ho 3.41-3.73, 1 Nd 3.41, 4 Pr 3.46-3.60
Ho 0.5000 0.5000 0.0000  2 Nd 3.02, 2 Pr 3.18
Ho 0.5000 0.5000 0.5000  2 Nd 3.02, 2 Pr 3.18
Ho 0.5494 0.0972 0.4717  2 Ho 3.41-3.73, 1 Nd 3.41, 4 Pr 3.46-3.60
Ho 0.9028 0.4506 0.0283  2 Ho 3.41-3.73, 1 Nd 3.41, 4 Pr 3.46-3.60


Record 2
# CuReOs

Crystalline CuReOs at its relaxed geometry (GGA-PBE, the Alexandria database).

E_tot, eV per atom: -8.584

Unit cell a=4.1299 b=4.1299 c=4.1299 alpha=60.00 beta=60.00 gamma=60.00
Last column: nearest neighbours and their distance in Å.
Fractional positions:
Cu 0.0000 0.0000 0.0000  4 Os 2.53
Re 0.5000 0.5000 0.5000  4 Os 2.53
Os 0.7500 0.7500 0.7500  4 Cu 2.53, 4 Re 2.53


Record 3
# NaMgAsBr2

Crystalline NaMgAsBr2 at its relaxed geometry (GGA-PBE, the Alexandria database).

Formation energy (no corrections), meV/atom: -609

Unit cell a=5.4721 b=5.4721 c=5.2539 alpha=90.00 beta=90.00 gamma=90.00
Last column: nearest neighbours and their distance in Å.
Fractional positions:
Na 0.0000 0.0000 0.0000  8 Br 3.79, 4 As 3.87
Mg 0.5000 0.5000 0.5000  2 As 2.63, 4 Br 2.74
As 0.5000 0.5000 0.0000  2 Mg 2.63
Br 0.0000 0.5000 0.5000  2 Mg 2.74
Br 0.5000 0.0000 0.5000  2 Mg 2.74


Record 4
# SnGeNF2

Crystalline SnGeNF2 at its relaxed geometry (GGA-PBE, the Alexandria database).

Formation energy (no corrections), meV/atom: -533

Unit cell a=4.3532 b=4.3532 c=4.0990 alpha=90.00 beta=90.00 gamma=90.00
Last column: nearest neighbours and their distance in Å.
Fractional positions:
Sn 0.0000 0.0000 0.0000  2 N 2.05, 4 F 2.18
Ge 0.5000 0.5000 0.5000  8 F 2.99, 4 N 3.08
N 0.0000 0.0000 0.5000  2 Sn 2.05
F 0.0000 0.5000 0.0000  2 Sn 2.18
F 0.5000 0.0000 0.0000  2 Sn 2.18


Record 5
# HgRhSe2Br

Crystalline HgRhSe2Br at its relaxed geometry (GGA-PBE, the Alexandria database).

Formation energy (no corrections), meV/atom: 196

Unit cell a=4.9046 b=4.9046 c=5.2052 alpha=90.00 beta=90.00 gamma=90.00
Last column: nearest neighbours and their distance in Å.
Fractional positions:
Hg 0.0000 0.0000 0.0000  4 Br 3.47, 8 Se 3.58
Rh 0.5000 0.5000 0.5000  4 Se 2.45, 2 Br 2.60
Se 0.0000 0.5000 0.5000  2 Rh 2.45
Se 0.5000 0.0000 0.5000  2 Rh 2.45
Br 0.5000 0.5000 0.0000  2 Rh 2.60


Record 6
# VHg

Crystalline VHg at its relaxed geometry (GGA-PBE, the Alexandria database).

E_tot, eV per atom: -4.293

Unit cell a=5.1687 b=5.4392 c=10.5097 alpha=90.00 beta=90.00 gamma=90.00
Last column: nearest neighbours and their distance in Å.
Fractional positions:
V 0.1230 0.1679 0.2779  2 V 2.38-2.42
V 0.1617 0.4181 0.0927  2 V 2.38-2.42
V 0.3383 0.5819 0.5927  2 V 2.38-2.42
V 0.3770 0.8321 0.7779  2 V 2.38-2.42
V 0.6230 0.3321 0.7221  2 V 2.38-2.42
V 0.6617 0.0819 0.9073  2 V 2.38-2.42
V 0.8383 0.9181 0.4073  2 V 2.38-2.42
V 0.8770 0.6679 0.2221  2 V 2.38-2.42
Hg 0.1345 0.3186 0.8171  6 V 2.72-2.96
Hg 0.1753 0.9177 0.0310  7 V 2.79-3.09
Hg 0.3247 0.0823 0.5310  7 V 2.79-3.09
Hg 0.3655 0.6814 0.3171  6 V 2.72-2.96
Hg 0.6345 0.1814 0.1829  6 V 2.72-2.96
Hg 0.6753 0.5823 0.9690  7 V 2.79-3.09
Hg 0.8247 0.4177 0.4690  7 V 2.79-3.09
Hg 0.8655 0.8186 0.6829  6 V 2.72-2.96


Record 7
# LaTc2Ru

Crystalline LaTc2Ru at its relaxed geometry (GGA-PBE, the Alexandria database).

E_tot, eV per atom: -8.123

Unit cell a=5.3398 b=5.3398 c=2.9254 alpha=90.00 beta=90.00 gamma=121.03
Last column: nearest neighbours and their distance in Å.
Fractional positions:
La 0.0000 0.0000 0.0000  2 Ru 2.63, 2 La 2.93
Tc 0.0000 0.5000 0.5000  4 Tc 2.63-2.93
Tc 0.5000 0.0000 0.5000  4 Tc 2.63-2.93
Ru 0.5000 0.5000 0.0000  2 La 2.63, 2 Ru 2.93


Record 8
# Ba6PtS2Cl3

Crystalline Ba6PtS2Cl3 at its relaxed geometry (GGA-PBE, the Alexandria database).

Formation energy (no corrections), meV/atom: -1742

Unit cell a=8.0109 b=8.0109 c=8.0329 alpha=99.59 beta=99.59 gamma=119.94
Last column: nearest neighbours and their distance in Å.
Fractional positions:
Ba 0.0748 0.4013 0.2248  1 Pt 3.12, 2 S 3.19, 3 Cl 3.37
Ba 0.2525 0.2525 0.7722  1 Pt 3.15, 2 S 3.19, 3 Cl 3.41-3.43
Ba 0.4013 0.0748 0.2248  1 Pt 3.12, 2 S 3.19, 3 Cl 3.37
Ba 0.5987 0.9252 0.7752  1 Pt 3.12, 2 S 3.19, 3 Cl 3.37
Ba 0.7475 0.7475 0.2278  1 Pt 3.15, 2 S 3.19, 3 Cl 3.41-3.43
Ba 0.9252 0.5987 0.7752  1 Pt 3.12, 2 S 3.19, 3 Cl 3.37
Pt 0.0000 0.0000 0.0000  6 Ba 3.12-3.15
S 0.3335 0.6665 0.0000  6 Ba 3.19
S 0.6665 0.3335 0.0000  6 Ba 3.19
Cl 0.1737 0.8263 0.5000  6 Ba 3.37-3.43
Cl 0.5000 0.5000 0.5000  6 Ba 3.37-3.41
Cl 0.8263 0.1737 0.5000  6 Ba 3.37-3.43


Record 9
# KHfI3

Crystalline KHfI3 at its relaxed geometry (GGA-PBE, the Alexandria database).

Formation energy (no corrections), meV/atom: 560

Unit cell a=6.1619 b=6.1619 c=6.1619 alpha=90.00 beta=90.00 gamma=90.00
Last column: nearest neighbours and their distance in Å.
Fractional positions:
K 0.0000 0.0000 0.0000  6 I 3.08
Hf 0.5000 0.5000 0.5000  12 I 4.36
I 0.0000 0.0000 0.5000  2 K 3.08
I 0.0000 0.5000 0.0000  2 K 3.08
I 0.5000 0.0000 0.0000  2 K 3.08


Record 10
# Sr4Ce3PaAs8

Crystalline Sr4Ce3PaAs8 at its relaxed geometry (GGA-PBE, the Alexandria database).

E_tot, eV per atom: -5.733

Unit cell a=8.6991 b=8.6991 c=8.6991 alpha=59.70 beta=59.70 gamma=59.70
Last column: nearest neighbours and their distance in Å.
Fractional positions:
Sr 0.0000 0.0000 0.0000  6 As 3.26
Sr 0.0000 0.5000 0.5000  6 As 3.18-3.19
Sr 0.5000 0.0000 0.5000  6 As 3.18-3.19
Sr 0.5000 0.5000 0.0000  6 As 3.18-3.19
Ce 0.0000 0.0000 0.5000  6 As 2.96-2.98
Ce 0.0000 0.5000 0.0000  6 As 2.96-2.98
Ce 0.5000 0.0000 0.0000  6 As 2.96-2.98
Pa 0.5000 0.5000 0.5000  6 As 2.88
As 0.2405 0.2405 0.2405  3 Ce 2.96, 3 Sr 3.19
As 0.2491 0.7347 0.7347  1 Pa 2.88, 2 Ce 2.98, 2 Sr 3.18
As 0.2653 0.2653 0.7509  1 Pa 2.88, 2 Ce 2.98, 2 Sr 3.18
As 0.2653 0.7509 0.2653  1 Pa 2.88, 2 Ce 2.98, 2 Sr 3.18
As 0.7347 0.2491 0.7347  1 Pa 2.88, 2 Ce 2.98, 2 Sr 3.18
As 0.7347 0.7347 0.2491  1 Pa 2.88, 2 Ce 2.98, 2 Sr 3.18
As 0.7509 0.2653 0.2653  1 Pa 2.88, 2 Ce 2.98, 2 Sr 3.18
As 0.7595 0.7595 0.7595  3 Ce 2.96, 3 Sr 3.19


Record 11
# CuAsCl2

Crystalline CuAsCl2 at its relaxed geometry (GGA-PBE, the Alexandria database).

Formation energy (no corrections), meV/atom: -105

Unit cell a=7.0198 b=7.0198 c=4.4482 alpha=99.32 beta=99.32 gamma=26.64
Last column: nearest neighbours and their distance in Å.
Fractional positions:
Cu 0.0000 0.0000 0.0000  4 Cl 2.52, 4 As 2.75
As 0.5000 0.5000 0.5000  2 Cl 2.48, 4 Cu 2.75
Cl 0.3626 0.3626 0.8000  1 As 2.48, 2 Cu 2.52
Cl 0.6374 0.6374 0.2000  1 As 2.48, 2 Cu 2.52


Record 12
# Ti2Al2As

Crystalline Ti2Al2As at its relaxed geometry (GGA-PBE, the Alexandria database).

E_tot, eV per atom: -6.019

Unit cell a=6.5198 b=6.5198 c=4.1099 alpha=90.00 beta=90.00 gamma=90.00
Last column: nearest neighbours and their distance in Å.
Fractional positions:
Ti 0.1556 0.3444 0.0000  2 As 2.46, 2 Al 2.75
Ti 0.3444 0.8444 0.0000  2 As 2.46, 2 Al 2.75
Ti 0.6556 0.1556 0.0000  2 As 2.46, 2 Al 2.75
Ti 0.8444 0.6556 0.0000  2 As 2.46, 2 Al 2.75
Al 0.1455 0.6455 0.5000  1 Al 2.68, 6 Ti 2.75-2.84
Al 0.3545 0.1455 0.5000  1 Al 2.68, 6 Ti 2.75-2.84
Al 0.6455 0.8545 0.5000  1 Al 2.68, 6 Ti 2.75-2.84
Al 0.8545 0.3545 0.5000  1 Al 2.68, 6 Ti 2.75-2.84
As 0.0000 0.0000 0.0000  4 Ti 2.46
As 0.5000 0.5000 0.0000  4 Ti 2.46


no.,calculated density (g/cm3)
1,7.0
2,14.7
3,3.0
4,5.2
5,7.2
6,11.3
7,10.1
8,4.7
9,4.2
10,5.8
11,3.6
12,4.3